[1]
DFT (PBE-GGA) results for an optimized crystal structure of DyCdPd.

Cell: 3.679 3.679 5.418 Å, 109.85 109.85 90.00°
Fractional coordinates of all 3 atoms:
Cd (0.624, 0.624, 0.249)
Pd (0.286, 0.286, 0.573)
Dy (0.939, 0.939, 0.879)

Results
Formation enthalpy at 0 K: -0.619 eV per atom
Total magnetic moment: 0.0 μB/f.u.
Total energy: -4.189 eV per atom

=====

[2]
DFT (PBE-GGA) results for an optimized crystal structure of Tb2GdIn.

Cell: 5.461 5.461 5.461 Å, 60.00 60.00 60.00°
Each line ends with the local moment (μB).
Fractional coordinates of all 4 atoms:
Gd (0.500, 0.500, 0.500)  7.38
Tb (0.750, 0.750, 0.750)  0.25
In (0.000, 0.000, 0.000)  -0.02
Tb (0.250, 0.250, 0.250)  0.25

Results
Formation enthalpy at 0 K: -0.150 eV per atom
Total magnetic moment: 8.3 μB/f.u.
Total energy: -6.670 eV per atom
Energy above the lowest structure with this stoichiometry: 134 meV per atom

=====

[3]
DFT (PBE-GGA) results for an optimized crystal structure of Sm5Hg2Ge.

Cell: 5.160 6.810 12.915 Å, 90.00 90.00 90.00°
Fractional coordinates of all 16 atoms:
Sm (0.500, 0.343, 0.598)
Sm (0.000, 0.500, 0.000)
Sm (0.000, 0.650, 0.715)
Hg (0.500, 0.399, 0.846)
Sm (0.500, 0.657, 0.402)
Sm (0.000, 0.000, 0.500)
Sm (0.000, 0.350, 0.285)
Hg (0.500, 0.899, 0.654)
Sm (0.500, 0.843, 0.902)
Sm (0.000, 0.150, 0.785)
Ge (0.000, 0.000, 0.000)
Sm (0.000, 0.850, 0.215)
Hg (0.500, 0.101, 0.346)
Sm (0.500, 0.157, 0.098)
Hg (0.500, 0.601, 0.154)
Ge (0.000, 0.500, 0.500)

Results
Formation enthalpy at 0 K: -0.439 eV per atom
Total magnetic moment: 0.0 μB/f.u.
Total energy: -4.041 eV per atom

=====

[4]
DFT (PBE-GGA) results for an optimized crystal structure of Mg5CdIn.

Cell: 4.656 4.656 7.786 Å, 90.00 90.00 90.00°
Fractional coordinates of all 7 atoms:
Mg (0.000, 0.500, 0.723)
Cd (0.000, 0.000, 0.500)
Mg (0.000, 0.500, 0.277)
Mg (0.500, 0.000, 0.277)
Mg (0.500, 0.000, 0.723)
Mg (0.500, 0.500, 0.000)
In (0.000, 0.000, 0.000)

Results
Formation enthalpy at 0 K: -0.004 eV per atom
Total magnetic moment: 0.0 μB/f.u.
Total energy: -1.665 eV per atom
Energy above the lowest structure with this stoichiometry: 0 meV per atom

=====

[5]
DFT (PBE-GGA) results for an optimized crystal structure of ReOsPt2.

Cell: 4.774 4.774 2.706 Å, 90.00 90.00 90.00°
Each line ends with the local moment (μB).
Fractional coordinates of all 4 atoms:
Pt (0.500, 0.500, 0.000)  0.06
Os (0.000, 0.500, 0.500)  0.07
Pt (0.000, 0.000, 0.000)  0.06
Re (0.500, 0.000, 0.500)  0.49

Results
Formation enthalpy at 0 K: 0.398 eV per atom
Total magnetic moment: 0.7 μB/f.u.
Total energy: -8.542 eV per atom
Energy above the lowest structure with this stoichiometry: 482 meV per atom

=====

[6]
DFT (PBE-GGA) results for an optimized crystal structure of LaTlNi.

Cell: 6.408 6.408 3.432 Å, 74.47 74.46 31.07°
Fractional coordinates of all 3 atoms:
Ni (0.327, 0.327, 0.673)
La (0.977, 0.977, 0.023)
Tl (0.696, 0.696, 0.304)

Results
Formation enthalpy at 0 K: -0.127 eV per atom
Total magnetic moment: 0.0 μB/f.u.
Total energy: -4.485 eV per atom

=====

[7]
DFT (PBE-GGA) results for an optimized crystal structure of SiTeSe2Br.

Cell: 5.027 5.027 4.848 Å, 90.00 90.00 90.00°
Fractional coordinates of all 5 atoms:
Se (0.000, 0.500, 0.000)
Br (0.000, 0.000, 0.500)
Si (0.000, 0.000, 0.000)
Se (0.500, 0.000, 0.000)
Te (0.500, 0.500, 0.500)

Results
Formation energy (no corrections): 0.285 eV per atom
Total magnetic moment: 0.0 μB/f.u.
Total energy: -3.156 eV per atom
Energy above the lowest structure with this stoichiometry: 0 meV per atom

=====

[8]
DFT (PBE-GGA) results for an optimized crystal structure of Tl2NiAs.

Cell: 5.357 5.357 5.357 Å, 137.45 120.88 75.53°
Fractional coordinates of all 4 atoms:
Tl (0.477, 0.477, 0.000)
Tl (0.023, 0.023, 0.000)
Ni (0.250, 0.750, 0.500)
As (0.750, 0.250, 0.500)

Results
Formation enthalpy at 0 K: 0.433 eV per atom
Total magnetic moment: 0.0 μB/f.u.
Total energy: -3.358 eV per atom
Energy above the lowest structure with this stoichiometry: 515 meV per atom

=====

Q: The highest total energy belongs to which entry?
A: Mg5CdIn

=====

Q: Number 6 is which compound?
A: LaTlNi